! BeMo2BrF PBE with a Hubbard U optimized geometry; values from VASP
&SYSTEM
  ibrav = 0, nat = 5, ntyp = 4
/
ATOMIC_SPECIES
Be 9.01 Be.upf
Mo 95.94 Mo.upf
Br 79.90 Br.upf
F 19.00 F.upf
ATOMIC_POSITIONS angstrom
Be 0.0000 0.0000 0.0000
Mo 0.0000 2.7530 2.1359
Mo 2.7530 0.0000 2.1359
Br 0.0000 0.0000 2.1359
F 2.7530 2.7530 0.0000
CELL_PARAMETERS angstrom
5.5059 0.0000 0.0000
0.0000 5.5059 0.0000
0.0000 0.0000 4.2719
! Raw total energy   -3.1367 eV/atom